# 1
This record from the Alexandria database describes crystalline Ba2Zn2Si at its relaxed geometry. The functional is PBE.

For the total energy, the calculation gives -2.440 eV/atom. As for the distance to the lowest polymorph of the same formula: 190 meV per atom. As for the uncorrected formation energy: -0.0768 eV/atom.

abc: 7.374 7.374 5.187
angles: 90.00 90.00 90.00
Space group P4/mbm (No. 127)
Asymmetric unit:
Ba 0.190 0.310 0.000 [4 per cell]
Zn 0.121 0.621 0.500 [4 per cell]
Si 0.000 0.000 0.500 [2 per cell]

# 2
This record from the Alexandria database describes crystalline Ba2Zn2Si3 at its relaxed geometry. The functional is PBE.

For the total energy, the calculation gives -3.498 eV/atom. As for the uncorrected formation energy: -0.2607 eV/atom.

abc: 5.079 19.021 6.926
angles: 90.00 90.00 90.00
Space group Cmcm (No. 63)
Asymmetric unit:
Ba 0.000 0.051 0.250 [4 per cell]
Ba 0.000 0.159 0.750 [4 per cell]
Zn 0.000 0.319 0.559 [8 per cell]
Si 0.000 0.225 0.250 [4 per cell]
Si 0.000 0.444 0.078 [8 per cell]

# 3
This record from the Alexandria database describes crystalline Ba4ZnSi at its relaxed geometry. The functional is PBE.

For the total energy, the calculation gives -1.784 eV/atom. As for the uncorrected formation energy: 0.6139 eV/atom.

abc: 10.057 10.057 10.057
angles: 90.00 90.00 90.00
Space group F-43m (No. 216)
Asymmetric unit:
Ba 0.124 0.124 0.124 [16 per cell]
Zn 0.000 0.000 0.500 [4 per cell]
Si 0.250 0.250 0.750 [4 per cell]

no.,mass density (g cm⁻³)
1,5.11
2,4.86
3,4.20